(1)
AcScTiIr2 | PBE | optimized geometry

Lattice parameters (Å, degrees): 4.3493 4.3493 6.5559 109.37 109.37 90.00
Element x y z (fractional)
1 Ac 0.0000 0.0000 0.0000
2 Sc 0.7500 0.2500 0.5000
3 Ir 0.3799 0.3799 0.7597
4 Ir 0.6201 0.6201 0.2403
5 Ti 0.2500 0.7500 0.5000

Results
Energy of formation from the pure elements = -0.77 eV/atom

(2)
Ac2IrSe | PBE | optimized geometry

Lattice parameters (Å, degrees): 4.3481 4.3481 8.0075 74.25 74.25 60.00
Element x y z (fractional)
1 Ac 0.7590 0.7590 0.7229
2 Se 0.0000 0.0000 0.0000
3 Ac 0.2410 0.2410 0.2771
4 Ir 0.5000 0.5000 0.5000

Results
Formation energy from raw total energies = -1.2693 eV/atom

(3)
Ac6Ir3Se | PBE | optimized geometry

Lattice parameters (Å, degrees): 4.3864 13.2171 12.5782 110.83 90.00 90.00
Element x y z (fractional)
1 Ir 0.2500 0.8426 0.9215
2 Ac 0.7500 0.1241 0.4474
3 Ac 0.7500 0.9321 0.0920
4 Ac 0.2500 0.0679 0.9080
5 Ac 0.2500 0.5545 0.4031
6 Ac 0.2500 0.2852 0.7395
7 Ac 0.7500 0.7148 0.2605
8 Ir 0.2500 0.5514 0.1670
9 Se 0.2500 0.9309 0.3215
10 Ac 0.2500 0.8759 0.5526
11 Ac 0.2500 0.6069 0.9472
12 Ir 0.7500 0.1574 0.0785
13 Ir 0.7500 0.4486 0.8330
14 Ir 0.7500 0.7087 0.5007
15 Ac 0.2500 0.2419 0.2390
16 Ac 0.7500 0.3931 0.0528
17 Ac 0.7500 0.7581 0.7610
18 Ir 0.2500 0.2913 0.4993
19 Se 0.7500 0.0691 0.6785
20 Ac 0.7500 0.4455 0.5969

Results
Formation energy from raw total energies = -0.8343 eV/atom

Taking the records one at a time from the top gives Fermi-level density of states values of 3.985 2.218 9.204 states/eV per cell.